No. 1
# K6MnTe4 (GGA-PBEsol, optimized geometry)
data_K6MnTe4
_symmetry_space_group_name_H-M 'P 1'
_symmetry_Int_Tables_number 1
_cell_length_a 10.831
_cell_length_b 10.831
_cell_length_c 8.275
_cell_angle_alpha 90.00
_cell_angle_beta 90.00
_cell_angle_gamma 120.00
loop_
_symmetry_equiv_pos_as_xyz
'x,y,z'
loop_
_atom_site_label
_atom_site_type_symbol
_atom_site_fract_x
_atom_site_fract_y
_atom_site_fract_z
K1 K 0.049 0.524 0.000
K2 K 0.147 0.295 0.684
K3 K 0.147 0.853 0.684
K4 K 0.295 0.147 0.184
K5 K 0.476 0.524 0.000
K6 K 0.476 0.951 0.000
K7 K 0.524 0.049 0.500
K8 K 0.524 0.476 0.500
K9 K 0.705 0.853 0.684
K10 K 0.853 0.147 0.184
K11 K 0.853 0.705 0.184
K12 K 0.951 0.476 0.500
Mn1 Mn 0.333 0.667 0.383
Mn2 Mn 0.667 0.333 0.883
Te1 Te 0.195 0.390 0.282
Te2 Te 0.195 0.805 0.282
Te3 Te 0.333 0.667 0.713
Te4 Te 0.390 0.195 0.782
Te5 Te 0.610 0.805 0.282
Te6 Te 0.667 0.333 0.213
Te7 Te 0.805 0.195 0.782
Te8 Te 0.805 0.610 0.782
# - Calculated total energy: -80.37 eV for the cell shown
# - Symmetry: No. 186
# - Formation energy from raw total energies: -0.866 eV/atom

No. 2
# In2Hg (GGA-PBEsol, optimized geometry)
data_In2Hg
_symmetry_space_group_name_H-M 'P 1'
_symmetry_Int_Tables_number 1
_cell_length_a 5.240
_cell_length_b 5.240
_cell_length_c 6.230
_cell_angle_alpha 90.00
_cell_angle_beta 90.00
_cell_angle_gamma 120.00
loop_
_symmetry_equiv_pos_as_xyz
'x,y,z'
loop_
_atom_site_label
_atom_site_type_symbol
_atom_site_fract_x
_atom_site_fract_y
_atom_site_fract_z
In1 In 0.000 0.000 0.000
In2 In 0.000 0.000 0.500
In3 In 0.333 0.667 0.250
In4 In 0.667 0.333 0.750
Hg1 Hg 0.333 0.667 0.750
Hg2 Hg 0.667 0.333 0.250
# - Energy above the lowest structure with this stoichiometry: 0.007 eV/atom
# - ΔE_f: -0.03 eV/f.u.
# - Calculated total energy: -13.12 eV for the cell shown
# - Symmetry: No. 194

No. 3
# Sc2Pt2Pb (GGA-PBEsol, optimized geometry)
data_Sc2Pt2Pb
_symmetry_space_group_name_H-M 'P 1'
_symmetry_Int_Tables_number 1
_cell_length_a 7.841
_cell_length_b 7.841
_cell_length_c 7.841
_cell_angle_alpha 151.98
_cell_angle_beta 151.98
_cell_angle_gamma 40.04
loop_
_symmetry_equiv_pos_as_xyz
'x,y,z'
loop_
_atom_site_label
_atom_site_type_symbol
_atom_site_fract_x
_atom_site_fract_y
_atom_site_fract_z
Sc1 Sc 0.122 0.122 0.000
Sc2 Sc 0.878 0.878 0.000
Pt1 Pt 0.250 0.750 0.500
Pt2 Pt 0.750 0.250 0.500
Pb1 Pb 0.500 0.500 0.000
# - ΔE_f: -3.37 eV/f.u.
# - Calculated total energy: -34.51 eV for the cell shown
# - Symmetry: No. 139